Entry from Alexandria: LiPuSi2Pt after structural relaxation (PBE).

Cell: 5.9338 5.9338 5.9338 Å, 140.39 140.39 57.26°
Fractional positions:
Li: 0.0000 0.0000 0.0000
Pu: 0.2500 0.7500 0.5000
Si: 0.6379 0.1379 0.5000
Si: 0.8621 0.3621 0.5000
Pt: 0.5000 0.5000 0.0000

formation energy from raw total energies = -0.70 eV per atom
crystal system = tetragonal

Entry from Alexandria: Ce2RuRh after structural relaxation (PBE).

Cell: 6.8949 6.8949 6.8949 Å, 33.56 33.56 33.56°
Fractional positions:
Ce: 0.2477 0.2477 0.2477
Ce: 0.7523 0.7523 0.7523
Ru: 0.5000 0.5000 0.5000
Rh: 0.0000 0.0000 0.0000

ΔH_f (0 K) = -1.8 eV per formula unit
crystal system = trigonal

Entry from Alexandria: NbZnIr2 after structural relaxation (PBE).

Cell: 4.6593 4.6593 4.6593 Å, 128.03 128.03 76.57°
Fractional positions:
Nb: 0.0000 0.0000 0.0000
Zn: 0.5000 0.5000 0.0000
Ir: 0.2500 0.7500 0.5000
Ir: 0.7500 0.2500 0.5000

ΔH_f (0 K) = -1.9 eV per formula unit
crystal system = tetragonal

Entry from Alexandria: PmScCoAg after structural relaxation (PBE).

Cell: 4.8814 4.8814 4.8814 Å, 60.00 60.00 60.00°
Fractional positions:
Pm: 0.0000 0.0000 0.0000
Sc: 0.5000 0.5000 0.5000
Co: 0.7500 0.7500 0.7500
Ag: 0.2500 0.2500 0.2500

ΔH_f (0 K) = -0.4 eV per formula unit
crystal system = cubic

Entry from Alexandria: Li3AsAu after structural relaxation (PBE).

Cell: 4.7163 4.7163 4.7163 Å, 90.00 90.00 90.00°
Fractional positions:
Li: 0.0000 0.0000 0.5000
Li: 0.0000 0.5000 0.0000
Li: 0.5000 0.0000 0.0000
As: 0.5000 0.5000 0.5000
Au: 0.0000 0.0000 0.0000

ΔH_f (0 K) = -0.5 eV per formula unit
crystal system = cubic
excess energy over the best structure of this formula in the dataset = 443 meV per atom

Entry from Alexandria: ErTh4N5 after structural relaxation (PBE).

Cell: 6.2648 6.2648 6.2648 Å, 99.66 99.66 131.65°
Fractional positions:
Er: 0.0000 0.0000 0.0000
Th: 0.2006 0.6007 0.8013
Th: 0.3993 0.2006 0.5999
Th: 0.6007 0.7994 0.4001
Th: 0.7994 0.3993 0.1987
N: 0.0995 0.2914 0.3909
N: 0.2914 0.9005 0.1919
N: 0.5000 0.5000 0.0000
N: 0.7086 0.0995 0.8081
N: 0.9005 0.7086 0.6091

formation energy from raw total energies = -1.59 eV per atom
crystal system = tetragonal

Entry from Alexandria: Y3InHg4 after structural relaxation (PBE).

Cell: 9.2367 9.2367 9.2367 Å, 32.45 32.45 32.45°
Fractional positions:
Y: 0.0000 0.0000 0.0000
Y: 0.2426 0.2426 0.2426
Y: 0.7574 0.7574 0.7574
In: 0.5000 0.5000 0.5000
Hg: 0.1206 0.1206 0.1206
Hg: 0.3682 0.3682 0.3682
Hg: 0.6318 0.6318 0.6318
Hg: 0.8794 0.8794 0.8794

ΔH_f (0 K) = -3.6 eV per formula unit
crystal system = trigonal

Entry from Alexandria: K3CdIn2O6 after structural relaxation (PBE).

Cell: 5.8802 5.8802 6.4658 Å, 98.72 98.72 119.97°
Fractional positions:
K: 0.0000 0.0000 0.0000
K: 0.3366 0.6634 0.0000
K: 0.6634 0.3366 0.0000
Cd: 0.5000 0.5000 0.5000
In: 0.1669 0.8331 0.5000
In: 0.8331 0.1669 0.5000
O: 0.0915 0.4368 0.3100
O: 0.2176 0.2176 0.6895
O: 0.4368 0.0915 0.3100
O: 0.5632 0.9085 0.6900
O: 0.7824 0.7824 0.3105
O: 0.9085 0.5632 0.6900

formation energy from raw total energies = -1.35 eV per atom
crystal system = monoclinic

Entry from Alexandria: TmSbIrPd after structural relaxation (PBE).

Cell: 4.7488 4.7488 4.7488 Å, 60.00 60.00 60.00°
Fractional positions:
Tm: 0.0000 0.0000 0.0000
Sb: 0.5000 0.5000 0.5000
Ir: 0.7500 0.7500 0.7500
Pd: 0.2500 0.2500 0.2500

formation energy from raw total energies = -0.65 eV per atom
crystal system = cubic

Entry from Alexandria: HfTiNbSn after structural relaxation (PBE).

Cell: 3.5218 3.5218 6.3378 Å, 90.00 90.00 90.00°
Fractional positions:
Hf: 0.0000 0.0000 0.0000
Ti: 0.0000 0.0000 0.4718
Nb: 0.5000 0.5000 0.2434
Sn: 0.5000 0.5000 0.7217

ΔH_f (0 K) = -1.1 eV per formula unit
crystal system = tetragonal
excess energy over the best structure of this formula in the dataset = 0 meV per atom

Entry from Alexandria: Ho2ScPd8 after structural relaxation (PBE).

Cell: 7.6014 7.6014 6.6750 Å, 107.99 107.99 31.93°
Fractional positions:
Ho: 0.2173 0.2173 0.1663
Ho: 0.7827 0.7827 0.8337
Sc: 0.5000 0.5000 0.5000
Pd: 0.0362 0.0362 0.2221
Pd: 0.1388 0.1388 0.6738
Pd: 0.3269 0.3269 0.5947
Pd: 0.4089 0.4089 0.0585
Pd: 0.5911 0.5911 0.9415
Pd: 0.6731 0.6731 0.4053
Pd: 0.8612 0.8612 0.3262
Pd: 0.9638 0.9638 0.7779

ΔH_f (0 K) = -8.4 eV per formula unit
crystal system = monoclinic

Entry from Alexandria: AgBr2 after structural relaxation (PBE).

Cell: 7.9155 7.9155 7.9155 Å, 158.76 151.54 35.79°
Fractional positions:
Ag: 0.0000 0.0000 0.0000
Br: 0.3759 0.3759 0.0000
Br: 0.6241 0.6241 0.0000

formation energy from raw total energies = -0.05 eV per atom
crystal system = orthorhombic

Entry from Alexandria: ZrAg2Sn2 after structural relaxation (PBE).

Cell: 8.0631 8.0631 3.3262 Å, 90.00 90.00 90.00°
Fractional positions:
Zr: 0.0000 0.0000 0.0000
Zr: 0.5000 0.5000 0.0000
Ag: 0.1206 0.3794 0.0000
Ag: 0.3794 0.8794 0.0000
Ag: 0.6206 0.1206 0.0000
Ag: 0.8794 0.6206 0.0000
Sn: 0.1817 0.6817 0.5000
Sn: 0.3183 0.1817 0.5000
Sn: 0.6817 0.8183 0.5000
Sn: 0.8183 0.3183 0.5000

ΔH_f (0 K) = -0.1 eV per formula unit
crystal system = tetragonal
excess energy over the best structure of this formula in the dataset = 0 meV per atom

Number 1: total magnetic moment 4.96 μB/cell, Fermi-level density of states 11.34 states/eV/cell. Number 2: total magnetic moment 0.00 μB/cell, Fermi-level density of states 4.93 states/eV/cell. Number 3: total magnetic moment 0.00 μB/cell, Fermi-level density of states 2.07 states/eV/cell. Number 4: total magnetic moment 0.47 μB/cell, Fermi-level density of states 3.22 states/eV/cell. Number 5: total magnetic moment 0.00 μB/cell, Fermi-level density of states 3.54 states/eV/cell. Number 6: total magnetic moment 0.00 μB/cell, Fermi-level density of states 3.58 states/eV/cell. Number 7: total magnetic moment 0.00 μB/cell, Fermi-level density of states 4.07 states/eV/cell. Number 8: total magnetic moment 1.07 μB/cell, Fermi-level density of states 5.64 states/eV/cell. Number 9: total magnetic moment 0.00 μB/cell, Fermi-level density of states 2.83 states/eV/cell. Number 10: total magnetic moment 0.00 μB/cell, Fermi-level density of states 3.31 states/eV/cell. Number 11: total magnetic moment 0.00 μB/cell, Fermi-level density of states 4.54 states/eV/cell. Number 12: total magnetic moment 0.00 μB/cell, Fermi-level density of states 0.50 states/eV/cell. Number 13: total magnetic moment 0.00 μB/cell, Fermi-level density of states 4.19 states/eV/cell.